Record 1
Li2Pr2Sb2O PBE-GGA relaxed; space group = I4/mmm (139); raw total energy = -0.3861 Ry/atom
1.0
4.527 0.000 0.000
0.000 4.527 0.000
0.000 0.000 15.844
Li Pr Sb O
4 4 4 2
Direct
0.000 0.500 0.000
0.000 0.500 0.500
0.500 0.000 0.000
0.500 0.000 0.500
0.000 0.000 0.148
0.000 0.000 0.852
0.500 0.500 0.352
0.500 0.500 0.648
0.000 0.000 0.363
0.000 0.000 0.637
0.500 0.500 0.137
0.500 0.500 0.863
0.000 0.000 0.000
0.500 0.500 0.500

---

Record 2
CoSi2Os PBE-GGA relaxed; space group = Cmm2 (35); raw total energy = -0.5143 Ry/atom
1.0
2.892 0.000 0.000
0.000 4.603 0.000
0.000 0.000 7.888
Co Si Os
2 4 2
Direct
0.000 0.000 0.000
0.500 0.500 0.000
0.000 0.000 0.521
0.000 0.500 0.783
0.500 0.000 0.783
0.500 0.500 0.521
0.000 0.500 0.276
0.500 0.000 0.276

---

Record 3
SrTiRhO6 PBE-GGA relaxed; space group = P312 (149); raw total energy = -0.5183 Ry/atom
1.0
5.203 0.000 0.000
-2.601 4.506 0.000
0.000 0.000 5.436
Sr Ti Rh O
1 1 1 6
Direct
0.000 0.000 0.000
0.333 0.667 0.500
0.667 0.333 0.500
0.378 0.002 0.701
0.378 0.376 0.299
0.624 0.002 0.299
0.624 0.622 0.701
0.998 0.376 0.701
0.998 0.622 0.299